Computed, not measured: a relaxed structure of K4RbMn3F12 at the GGA+U level of DFT. Values from VASP.

Quantum ESPRESSO input file:
```
&SYSTEM
  ibrav = 0, nat = 20, ntyp = 4
/
ATOMIC_SPECIES
K 39.10 K.upf
Rb 85.47 Rb.upf
Mn 54.94 Mn.upf
F 19.00 F.upf
CELL_PARAMETERS angstrom
-4.4169 4.4169 4.4169
4.4169 -4.4169 4.4169
4.4169 4.4169 -4.4169
ATOMIC_POSITIONS angstrom
K 2.2085 2.2085 -2.2085
K 2.2085 -2.2085 2.2085
K -2.2085 2.2085 2.2085
K 2.2085 2.2085 2.2085
Rb 0.0000 0.0000 0.0000
Mn 4.4169 0.0000 0.0000
Mn 0.0000 4.4169 0.0000
Mn 0.0000 0.0000 4.4169
F 2.4974 0.0000 0.0000
F 6.3365 0.0000 0.0000
F 4.4169 2.2085 0.0000
F 4.4169 0.0000 2.2085
F 0.0000 2.4974 0.0000
F 0.0000 0.0000 2.4974
F 2.2085 4.4169 0.0000
F 2.2085 0.0000 4.4169
F 0.0000 6.3365 0.0000
F 0.0000 0.0000 6.3365
F 0.0000 4.4169 2.2085
F 0.0000 2.2085 4.4169
```

**Crystal system**: cubic
**Total DFT energy (no corrections)**: -5.190 eV per atom
**DOS(E_F)**: 3.89 states/eV/cell
**Total magnetic moment**: 0.700 μB/atom
**Symmetry**: Im-3m (229)